(1)
BaAl2O4: single point on PBEsol structure, SCAN.

Results
Crystal system: hexagonal
SG: P6_3, No. 173
Formation energy (no corrections), eV per atom: -3.358
Calculated volume, Å³/cell: 832.27

```
BaAl2O4
1.0
10.4633 0.0000 0.0000
-5.2316 9.0614 0.0000
0.0000 0.0000 8.7781
Ba Al O
8 16 32
Direct
0.0000 0.0000 0.0000
0.0000 0.0000 0.5000
0.0092 0.5066 0.4870
0.4934 0.5026 0.4870
0.4974 0.9908 0.4870
0.5026 0.0092 0.9870
0.5066 0.4974 0.9870
0.9908 0.4934 0.9870
0.1532 0.8258 0.7942
0.1548 0.8241 0.1811
0.1742 0.3274 0.7942
0.1759 0.3307 0.1811
0.3274 0.1532 0.2942
0.3307 0.1548 0.6811
0.3333 0.6667 0.2965
0.3333 0.6667 0.7000
0.6667 0.3333 0.2000
0.6667 0.3333 0.7965
0.6693 0.8452 0.1811
0.6726 0.8468 0.7942
0.8241 0.6693 0.6811
0.8258 0.6726 0.2942
0.8452 0.1759 0.6811
0.8468 0.1742 0.2942
0.0003 0.3151 0.1967
0.9997 0.6849 0.6967
0.0035 0.8246 0.2662
0.1074 0.7880 0.9877
0.1754 0.1789 0.2662
0.1777 0.6767 0.2421
0.1789 0.0035 0.7662
0.1804 0.4970 0.7567
0.2120 0.3194 0.9877
0.3148 0.9997 0.1967
0.3151 0.3148 0.6967
0.3166 0.8196 0.7567
0.3194 0.1074 0.4877
0.3233 0.5010 0.2421
0.3333 0.6667 0.4983
0.4970 0.3166 0.2567
0.4990 0.8223 0.2421
0.5010 0.1777 0.7421
0.5030 0.6834 0.7567
0.6667 0.3333 0.9983
0.6767 0.4990 0.7421
0.6806 0.8926 0.9877
0.6834 0.1804 0.2567
0.6852 0.0003 0.6967
0.6849 0.6852 0.1967
0.7880 0.6806 0.4877
0.8196 0.5030 0.2567
0.8211 0.9965 0.2662
0.8223 0.3233 0.7421
0.8246 0.8211 0.7662
0.8926 0.2120 0.4877
0.9965 0.1754 0.7662
```

(2)
LiRe2: single point on PBEsol structure, SCAN.

Results
Formation energy, eV per atom: 0.0199
Energy relative to the lowest polymorph listed for this composition, meV/atom: 0.0
Crystal system: trigonal
SG: P-3m1, No. 164
Calculated volume, Å³/cell: 41.04

```
LiRe2
1.0
4.2833 0.0000 0.0000
-2.1417 3.7095 0.0000
0.0000 0.0000 2.5827
Li Re
1 2
Direct
0.0000 0.0000 0.0000
0.3333 0.6667 0.3579
0.6667 0.3333 0.6421
```